Material: Pm3Zn2In
Method: DFT, PBE
State: optimized geometry

Output
**Space group**: No. 123

Lattice parameters (Å, degrees): 3.6558 3.6558 11.6176 90.00 90.00 90.00
Closest atoms and distances in Å follow each position.
Fractional positions:
1 Pm 0.0000 0.0000 0.0000  8 Zn 3.15
2 Pm 0.0000 0.0000 0.3148  4 Zn 3.19, 4 In 3.36
3 Pm 0.0000 0.0000 0.6852  4 Zn 3.19, 4 In 3.36
4 Zn 0.5000 0.5000 0.1543  8 Pm 3.15-3.19
5 Zn 0.5000 0.5000 0.8457  8 Pm 3.15-3.19
6 In 0.5000 0.5000 0.5000  8 Pm 3.36, 4 In 3.66

Material: Pm3Zn4In2
Method: DFT, PBE
State: optimized geometry

Output
**Space group**: No. 12

Lattice parameters (Å, degrees): 5.9503 5.9503 8.9476 111.49 111.49 46.42
Closest atoms and distances in Å follow each position.
Fractional positions:
1 Pm 0.0000 0.0000 0.0000  8 Zn 3.24-3.47, 4 In 3.30
2 Pm 0.3366 0.3366 0.3259  8 Zn 3.08-3.34, 4 In 3.24-3.34
3 Pm 0.6634 0.6634 0.6741  8 Zn 3.08-3.34, 4 In 3.24-3.34
4 Zn 0.0716 0.0716 0.4138  1 Zn 2.60, 2 In 2.76
5 Zn 0.2848 0.2848 0.9611  2 Zn 2.64, 1 In 2.78
6 Zn 0.7152 0.7152 0.0389  2 Zn 2.64, 1 In 2.78
7 Zn 0.9284 0.9284 0.5862  1 Zn 2.60, 2 In 2.76
8 In 0.3834 0.3834 0.7188  3 Zn 2.76-2.78
9 In 0.6166 0.6166 0.2812  3 Zn 2.76-2.78

Material: PmZrZnIn
Method: DFT, PBE
State: optimized geometry

Output
**Space group**: No. 216

Lattice parameters (Å, degrees): 5.0979 5.0979 5.0979 60.00 60.00 60.00
Closest atoms and distances in Å follow each position.
Fractional positions:
1 Pm 0.0000 0.0000 0.0000  4 In 3.12, 4 Zn 3.12
2 Zr 0.5000 0.5000 0.5000  4 In 3.12, 4 Zn 3.12
3 Zn 0.2500 0.2500 0.2500  4 Zr 3.12, 4 Pm 3.12
4 In 0.7500 0.7500 0.7500  4 Zr 3.12, 4 Pm 3.12

Material: Pm2Zr2In7
Method: DFT, PBE
State: optimized geometry

Output
**Space group**: No. 12

Lattice parameters (Å, degrees): 7.5211 7.5211 5.7156 108.03 108.03 74.78
Closest atoms and distances in Å follow each position.
Fractional positions:
1 Pm 0.1843 0.8157 0.0000  6 In 3.21-3.45, 1 Pm 3.37
2 Pm 0.8157 0.1843 0.0000  6 In 3.21-3.45, 1 Pm 3.37
3 Zr 0.2569 0.2569 0.8336  7 In 2.92-3.17
4 Zr 0.7431 0.7431 0.1664  7 In 2.92-3.17
5 In 0.0000 0.0000 0.5000  2 Zr 2.92
6 In 0.1267 0.4948 0.3353  3 In 3.00-3.10, 2 Zr 3.05-3.17
7 In 0.4893 0.4893 0.7471  6 In 2.80-3.10, 2 Zr 3.00-3.05
8 In 0.4948 0.1267 0.3353  3 In 3.00-3.10, 2 Zr 3.05-3.17
9 In 0.5052 0.8733 0.6647  3 In 3.00-3.10, 2 Zr 3.05-3.17
10 In 0.5107 0.5107 0.2529  6 In 2.80-3.10, 2 Zr 3.00-3.05
11 In 0.8733 0.5052 0.6647  3 In 3.00-3.10, 2 Zr 3.05-3.17

Material: Pm2Zr2In3
Method: DFT, PBE
State: optimized geometry

Output
**Space group**: No. 65

Lattice parameters (Å, degrees): 11.8658 11.8658 3.2434 90.00 90.00 156.83
Closest atoms and distances in Å follow each position.
Fractional positions:
1 Pm 0.0754 0.9246 0.0000  1 Zr 3.19, 3 Pm 3.24-3.51, 8 In 3.37-3.50
2 Pm 0.9246 0.0754 0.0000  1 Zr 3.19, 3 Pm 3.24-3.51, 8 In 3.37-3.50
3 Zr 0.2129 0.7871 0.0000  4 Zr 2.94-3.24, 4 In 3.12, 1 Pm 3.19
4 Zr 0.7871 0.2129 0.0000  4 Zr 2.94-3.24, 4 In 3.12, 1 Pm 3.19
5 In 0.3389 0.6611 0.5000  6 Zr 3.12-3.35, 2 In 3.24
6 In 0.5000 0.5000 0.5000  2 In 3.24, 8 Pm 3.37
7 In 0.6611 0.3389 0.5000  6 Zr 3.12-3.35, 2 In 3.24

Material: Pm3ZrIn4
Method: DFT, PBE
State: optimized geometry

Output
**Space group**: No. 123

Lattice parameters (Å, degrees): 3.8397 3.8397 14.6168 90.00 90.00 90.00
Closest atoms and distances in Å follow each position.
Fractional positions:
1 Pm 0.0000 0.0000 0.0000  8 In 3.32
2 Pm 0.0000 0.0000 0.2630  8 In 3.32-3.33, 1 Zr 3.46
3 Pm 0.0000 0.0000 0.7370  8 In 3.32-3.33, 1 Zr 3.46
4 Zr 0.0000 0.0000 0.5000  8 In 3.13, 2 Pm 3.46
5 In 0.5000 0.5000 0.1312  8 Pm 3.32-3.33
6 In 0.5000 0.5000 0.3940  1 In 3.10, 4 Zr 3.13, 4 Pm 3.32
7 In 0.5000 0.5000 0.6060  1 In 3.10, 4 Zr 3.13, 4 Pm 3.32
8 In 0.5000 0.5000 0.8688  8 Pm 3.32-3.33

Material: PmZrIn4
Method: DFT, PBE
State: optimized geometry

Output
**Space group**: No. 216

Lattice parameters (Å, degrees): 5.9200 5.9200 5.9200 60.00 60.00 60.00
Closest atoms and distances in Å follow each position.
Fractional positions:
1 Pm 0.0000 0.0000 0.0000  12 In 3.47, 4 Zr 3.63
2 Zr 0.7500 0.7500 0.7500  12 In 3.47, 4 Pm 3.63
3 In 0.3753 0.3753 0.3753  6 In 2.95-2.97
4 In 0.3753 0.3753 0.8741  6 In 2.95-2.97
5 In 0.3753 0.8741 0.3753  6 In 2.95-2.97
6 In 0.8741 0.3753 0.3753  6 In 2.95-2.97

Material: Pm5ZrIn6
Method: DFT, PBE
State: optimized geometry

Output
**Space group**: No. 12

Lattice parameters (Å, degrees): 8.9912 8.9912 5.6157 96.09 96.09 46.31
Closest atoms and distances in Å follow each position.
Fractional positions:
1 Pm 0.0000 0.0000 0.0000  8 In 3.28-3.40, 2 Pm 3.46, 2 Zr 3.54
2 Pm 0.1661 0.1661 0.6775  8 In 3.34-3.40, 4 Pm 3.46-3.57
3 Pm 0.3283 0.3283 0.3106  8 In 3.26-3.37, 1 Zr 3.50, 3 Pm 3.54-3.57
4 Pm 0.6717 0.6717 0.6894  8 In 3.26-3.37, 1 Zr 3.50, 3 Pm 3.54-3.57
5 Pm 0.8339 0.8339 0.3225  8 In 3.34-3.40, 4 Pm 3.46-3.57
6 Zr 0.5000 0.5000 0.0000  8 In 3.18-3.24, 4 Pm 3.50-3.54
7 In 0.1035 0.5793 0.8185  1 Zr 3.18, 7 Pm 3.26-3.40, 2 In 3.34-3.36
8 In 0.2700 0.7300 0.5000  2 Zr 3.24, 3 In 3.25-3.34, 6 Pm 3.34-3.40
9 In 0.4207 0.8965 0.1815  1 Zr 3.18, 7 Pm 3.26-3.40, 2 In 3.34-3.36
10 In 0.5793 0.1035 0.8185  1 Zr 3.18, 7 Pm 3.26-3.40, 2 In 3.34-3.36
11 In 0.7300 0.2700 0.5000  2 Zr 3.24, 3 In 3.25-3.34, 6 Pm 3.34-3.40
12 In 0.8965 0.4207 0.1815  1 Zr 3.18, 7 Pm 3.26-3.40, 2 In 3.34-3.36

Material: PrIn7
Method: DFT, PBE
State: optimized geometry

Output
**Space group**: No. 225

Lattice parameters (Å, degrees): 6.7446 6.7446 6.7446 60.00 60.00 60.00
Closest atoms and distances in Å follow each position.
Fractional positions:
1 Pr 0.0000 0.0000 0.0000  12 In 3.37
2 In 0.0000 0.0000 0.5000  10 In 3.37, 2 Pr 3.37
3 In 0.0000 0.5000 0.0000  10 In 3.37, 2 Pr 3.37
4 In 0.0000 0.5000 0.5000  10 In 3.37, 2 Pr 3.37
5 In 0.5000 0.0000 0.0000  10 In 3.37, 2 Pr 3.37
6 In 0.5000 0.0000 0.5000  10 In 3.37, 2 Pr 3.37
7 In 0.5000 0.5000 0.0000  10 In 3.37, 2 Pr 3.37
8 In 0.5000 0.5000 0.5000  12 In 3.37

Material: PrIn2
Method: DFT, PBE
State: optimized geometry

Output
**Space group**: No. 227

Lattice parameters (Å, degrees): 6.1151 6.1151 6.1151 60.00 60.00 60.00
Closest atoms and distances in Å follow each position.
Fractional positions:
1 Pr 0.1250 0.1250 0.1250  12 In 3.59, 4 Pr 3.74
2 Pr 0.8750 0.8750 0.8750  12 In 3.59, 4 Pr 3.74
3 In 0.0000 0.5000 0.5000  6 In 3.06
4 In 0.5000 0.0000 0.5000  6 In 3.06
5 In 0.5000 0.5000 0.0000  6 In 3.06
6 In 0.5000 0.5000 0.5000  6 In 3.06

Material: PrIn4
Method: DFT, PBE
State: optimized geometry

Output
**ΔE to the lowest computed polymorph**: 911 meV/atom
**Space group**: No. 221

Lattice parameters (Å, degrees): 6.0414 6.0414 6.0414 90.00 90.00 90.00
Closest atoms and distances in Å follow each position.
Fractional positions:
1 Pr 0.0000 0.0000 0.0000  6 In 3.02
2 In 0.0000 0.0000 0.5000  2 Pr 3.02
3 In 0.0000 0.5000 0.0000  2 Pr 3.02
4 In 0.5000 0.0000 0.0000  2 Pr 3.02
5 In 0.5000 0.5000 0.5000  12 In 4.27

Number 1: V 155.3 Å³/f.u., formation energy from the elements -0.37 eV per atom. Number 2: V 210.5 Å³/f.u., formation energy from the elements -0.42 eV per atom. Number 3: V 93.7 Å³/f.u., formation energy from the elements -0.25 eV per atom. Number 4: V 287.3 Å³/f.u., formation energy from the elements -0.18 eV per atom. Number 5: V 179.7 Å³/f.u., formation energy from the elements -0.25 eV per atom. Number 6: V 215.5 Å³/f.u., formation energy from the elements -0.40 eV per atom. Number 7: V 146.7 Å³/f.u., formation energy from the elements -0.21 eV per atom. Number 8: V 326.1 Å³/f.u., formation energy from the elements -0.43 eV per atom. Number 9: V 216.9 Å³/f.u., formation energy from the elements -0.19 eV per atom. Number 10: V 80.8 Å³/f.u., formation energy from the elements -0.44 eV per atom. Number 11: V 220.5 Å³/f.u., formation energy from the elements 0.58 eV per atom.